1.
This record from Alexandria via LeMat-Bulk describes crystalline Sn2BiPt at its relaxed geometry. The functional is PBE.

Values from the calculation:
Size of the total moment   0.00 μB per formula unit
Formation energy from the elements   -185 meV per atom
Calculated total energy   -4.667 eV per atom

Cell and atoms, written as CIF:
```
data_Sn2BiPt
_cell_length_a 4.281
_cell_length_b 4.281
_cell_length_c 7.184
_cell_angle_alpha 72.66
_cell_angle_beta 72.66
_cell_angle_gamma 60.00
_space_group_name_H-M_alt 'P 1'
_space_group_IT_number 1
loop_
_space_group_symop_operation_xyz
'x,y,z'
loop_
_atom_site_label
_atom_site_type_symbol
_atom_site_fract_x
_atom_site_fract_y
_atom_site_fract_z
Pt1 Pt 0.662 0.662 0.013
Sn1 Sn 0.270 0.270 0.189
Sn2 Sn 0.059 0.059 0.823
Bi1 Bi 0.508 0.508 0.475
```

=====

2.
This record from Alexandria via LeMat-Bulk describes crystalline Ac2PrCu at its relaxed geometry. The functional is PBE.

Values from the calculation:
Size of the total moment   0.00 μB per formula unit
Formation energy from the elements   65 meV per atom
Calculated total energy   -4.208 eV per atom

Cell and atoms, written as CIF:
```
data_Ac2PrCu
_cell_length_a 4.000
_cell_length_b 4.000
_cell_length_c 10.600
_cell_angle_alpha 79.12
_cell_angle_beta 79.12
_cell_angle_gamma 60.00
_space_group_name_H-M_alt 'P 1'
_space_group_IT_number 1
loop_
_space_group_symop_operation_xyz
'x,y,z'
loop_
_atom_site_label
_atom_site_type_symbol
_atom_site_fract_x
_atom_site_fract_y
_atom_site_fract_z
Pr1 Pr 0.499 0.499 0.502
Ac1 Ac 0.266 0.266 0.201
Cu1 Cu 0.667 0.667 0.999
Ac2 Ac 0.067 0.067 0.798
```

=====

3.
This record from Alexandria via LeMat-Bulk describes crystalline Tb3PrAu2 at its relaxed geometry. The functional is PBE.

Values from the calculation:
Size of the total moment   0.00 μB per formula unit
Formation energy from the elements   -602 meV per atom
Calculated total energy   -4.806 eV per atom

Cell and atoms, written as CIF:
```
data_Tb3PrAu2
_cell_length_a 5.024
_cell_length_b 7.232
_cell_length_c 9.064
_cell_angle_alpha 90.00
_cell_angle_beta 90.00
_cell_angle_gamma 90.00
_space_group_name_H-M_alt 'P 1'
_space_group_IT_number 1
loop_
_space_group_symop_operation_xyz
'x,y,z'
loop_
_atom_site_label
_atom_site_type_symbol
_atom_site_fract_x
_atom_site_fract_y
_atom_site_fract_z
Tb1 Tb 0.000 0.488 0.929
Au1 Au 0.000 0.253 0.658
Au2 Au 0.000 0.753 0.342
Pr1 Pr 0.500 0.011 0.426
Au3 Au 0.500 0.248 0.147
Pr2 Pr 0.500 0.511 0.574
Au4 Au 0.500 0.748 0.853
Tb2 Tb 0.000 0.988 0.071
Tb3 Tb 0.500 0.650 0.166
Tb4 Tb 0.500 0.150 0.834
Tb5 Tb 0.000 0.850 0.670
Tb6 Tb 0.000 0.350 0.330
```

=====

4.
This record from Alexandria via LeMat-Bulk describes crystalline Cs2RbNiH6 at its relaxed geometry. The functional is PBE.

Values from the calculation:
Size of the total moment   0.77 μB per formula unit
Calculated total energy   -3.005 eV per atom

Cell and atoms, written as CIF:
```
data_Cs2RbNiH6
_cell_length_a 7.170
_cell_length_b 6.347
_cell_length_c 6.347
_cell_angle_alpha 120.00
_cell_angle_beta 90.00
_cell_angle_gamma 90.00
_space_group_name_H-M_alt 'P 1'
_space_group_IT_number 1
loop_
_space_group_symop_operation_xyz
'x,y,z'
loop_
_atom_site_label
_atom_site_type_symbol
_atom_site_fract_x
_atom_site_fract_y
_atom_site_fract_z
H1 H 0.876 0.113 0.227
H2 H 0.124 0.887 0.113
H3 H 0.876 0.113 0.887
Ni1 Ni 0.000 0.000 0.000
Cs1 Cs 0.140 0.333 0.667
Cs2 Cs 0.860 0.667 0.333
H4 H 0.876 0.773 0.887
H5 H 0.124 0.887 0.773
H6 H 0.124 0.227 0.113
Rb1 Rb 0.500 0.000 0.000
```

=====

5.
This record from Alexandria via LeMat-Bulk describes crystalline Na2BiO2 at its relaxed geometry. The functional is PBE.

Values from the calculation:
Size of the total moment   0.00 μB per formula unit
Raw formation energy   -1.211 eV/atom
Calculated total energy   -4.498 eV per atom

Cell and atoms, written as CIF:
```
data_Na2BiO2
_cell_length_a 3.838
_cell_length_b 6.658
_cell_length_c 8.414
_cell_angle_alpha 101.63
_cell_angle_beta 90.00
_cell_angle_gamma 106.75
_space_group_name_H-M_alt 'P 1'
_space_group_IT_number 1
loop_
_space_group_symop_operation_xyz
'x,y,z'
loop_
_atom_site_label
_atom_site_type_symbol
_atom_site_fract_x
_atom_site_fract_y
_atom_site_fract_z
Na1 Na 0.661 0.321 0.520
O1 O 0.789 0.579 0.334
Bi1 Bi 0.661 0.321 0.133
Na2 Na 0.053 0.106 0.760
O2 O 0.211 0.421 0.666
Bi2 Bi 0.339 0.679 0.867
O3 O 0.459 0.918 0.729
O4 O 0.541 0.082 0.271
Na3 Na 0.947 0.894 0.240
Na4 Na 0.339 0.679 0.480
```

=====

6.
This record from Alexandria via LeMat-Bulk describes crystalline Y3Al4Zn2 at its relaxed geometry. The functional is PBE.

Values from the calculation:
Size of the total moment   0.00 μB per formula unit
Formation energy from the elements   -488 meV per atom
Calculated total energy   -4.589 eV per atom

Cell and atoms, written as CIF:
```
data_Y3Al4Zn2
_cell_length_a 4.492
_cell_length_b 5.759
_cell_length_c 8.575
_cell_angle_alpha 110.79
_cell_angle_beta 90.00
_cell_angle_gamma 112.96
_space_group_name_H-M_alt 'P 1'
_space_group_IT_number 1
loop_
_space_group_symop_operation_xyz
'x,y,z'
loop_
_atom_site_label
_atom_site_type_symbol
_atom_site_fract_x
_atom_site_fract_y
_atom_site_fract_z
Zn1 Zn 0.609 0.219 0.277
Y1 Y 0.332 0.664 0.336
Zn2 Zn 0.391 0.781 0.723
Al1 Al 0.050 0.100 0.382
Al2 Al 0.274 0.547 0.936
Al3 Al 0.726 0.453 0.064
Y2 Y 0.668 0.336 0.664
Y3 Y 0.000 0.000 0.000
Al4 Al 0.950 0.900 0.618
```

=====

7.
This record from Alexandria via LeMat-Bulk describes crystalline Na2Dy2HfSe6 at its relaxed geometry. The functional is PBE.

Values from the calculation:
Size of the total moment   0.00 μB per formula unit
Raw formation energy   -1.594 eV/atom
Calculated total energy   -5.476 eV per atom

Cell and atoms, written as CIF:
```
data_Na2Dy2HfSe6
_cell_length_a 6.975
_cell_length_b 6.975
_cell_length_c 7.475
_cell_angle_alpha 99.15
_cell_angle_beta 99.15
_cell_angle_gamma 119.48
_space_group_name_H-M_alt 'P 1'
_space_group_IT_number 1
loop_
_space_group_symop_operation_xyz
'x,y,z'
loop_
_atom_site_label
_atom_site_type_symbol
_atom_site_fract_x
_atom_site_fract_y
_atom_site_fract_z
Se1 Se 0.239 0.239 0.279
Se2 Se 0.608 0.925 0.277
Na1 Na 0.170 0.830 0.000
Dy1 Dy 0.667 0.333 0.500
Na2 Na 0.830 0.170 0.000
Hf1 Hf 0.000 0.000 0.500
Se3 Se 0.075 0.392 0.723
Se4 Se 0.925 0.608 0.277
Se5 Se 0.761 0.761 0.721
Se6 Se 0.392 0.075 0.723
Dy2 Dy 0.333 0.667 0.500
```

=====

8.
This record from Alexandria via LeMat-Bulk describes crystalline Cs2Ba2Sr at its relaxed geometry. The functional is PBE.

Values from the calculation:
Size of the total moment   0.00 μB per formula unit
Formation energy from the elements   307 meV per atom
Calculated total energy   -1.139 eV per atom

Cell and atoms, written as CIF:
```
data_Cs2Ba2Sr
_cell_length_a 12.677
_cell_length_b 12.677
_cell_length_c 4.837
_cell_angle_alpha 90.00
_cell_angle_beta 90.00
_cell_angle_gamma 90.00
_space_group_name_H-M_alt 'P 1'
_space_group_IT_number 1
loop_
_space_group_symop_operation_xyz
'x,y,z'
loop_
_atom_site_label
_atom_site_type_symbol
_atom_site_fract_x
_atom_site_fract_y
_atom_site_fract_z
Ba1 Ba 0.122 0.378 0.000
Cs1 Cs 0.177 0.677 0.500
Cs2 Cs 0.823 0.323 0.500
Cs3 Cs 0.677 0.823 0.500
Ba2 Ba 0.622 0.122 0.000
Ba3 Ba 0.878 0.622 0.000
Ba4 Ba 0.378 0.878 0.000
Cs4 Cs 0.323 0.177 0.500
Sr1 Sr 0.500 0.500 0.000
Sr2 Sr 0.000 0.000 0.000
```

=====

Which formula does entry 4 have?
Cs2RbNiH6

=====

What did the third record say?
This record from Alexandria via LeMat-Bulk describes crystalline Tb3PrAu2 at its relaxed geometry. The functional is PBE.

Values from the calculation:
Size of the total moment   0.00 μB per formula unit
Formation energy from the elements   -602 meV per atom
Calculated total energy   -4.806 eV per atom

Cell and atoms, written as CIF:
```
data_Tb3PrAu2
_cell_length_a 5.024
_cell_length_b 7.232
_cell_length_c 9.064
_cell_angle_alpha 90.00
_cell_angle_beta 90.00
_cell_angle_gamma 90.00
_space_group_name_H-M_alt 'P 1'
_space_group_IT_number 1
loop_
_space_group_symop_operation_xyz
'x,y,z'
loop_
_atom_site_label
_atom_site_type_symbol
_atom_site_fract_x
_atom_site_fract_y
_atom_site_fract_z
Tb1 Tb 0.000 0.488 0.929
Au1 Au 0.000 0.253 0.658
Au2 Au 0.000 0.753 0.342
Pr1 Pr 0.500 0.011 0.426
Au3 Au 0.500 0.248 0.147
Pr2 Pr 0.500 0.511 0.574
Au4 Au 0.500 0.748 0.853
Tb2 Tb 0.000 0.988 0.071
Tb3 Tb 0.500 0.650 0.166
Tb4 Tb 0.500 0.150 0.834
Tb5 Tb 0.000 0.850 0.670
Tb6 Tb 0.000 0.350 0.330
```